1.
This record from Alexandria via LeMat-Bulk describes K3VMo3H4O15 at its PBEsol-relaxed geometry. The functional is SCAN.

Structure (POSCAR):
```
K3VMo3H4O15
1.0
7.296 -6.381 0.000
7.296 6.381 0.000
-5.758 0.000 7.232
K V Mo H O
6 2 6 8 30
Direct
0.000 0.000 0.000
0.019 0.407 0.274
0.407 0.019 0.274
0.500 0.500 0.500
0.593 0.981 0.726
0.981 0.593 0.726
0.117 0.117 0.495
0.883 0.883 0.505
0.109 0.756 0.274
0.244 0.891 0.726
0.272 0.272 0.962
0.728 0.728 0.038
0.756 0.109 0.274
0.891 0.244 0.726
0.250 0.416 0.679
0.329 0.576 0.733
0.416 0.250 0.679
0.424 0.671 0.267
0.576 0.329 0.733
0.584 0.750 0.321
0.671 0.424 0.267
0.750 0.584 0.321
0.058 0.767 0.501
0.062 0.062 0.691
0.087 0.372 0.883
0.133 0.788 0.119
0.150 0.150 0.356
0.212 0.867 0.881
0.227 0.614 0.305
0.231 0.504 0.646
0.233 0.942 0.499
0.234 0.234 0.106
0.254 0.254 0.711
0.372 0.087 0.883
0.386 0.773 0.695
0.422 0.422 0.108
0.496 0.769 0.354
0.504 0.231 0.646
0.578 0.578 0.892
0.614 0.227 0.305
0.628 0.913 0.117
0.746 0.746 0.289
0.766 0.766 0.894
0.767 0.058 0.501
0.769 0.496 0.354
0.773 0.386 0.695
0.788 0.133 0.119
0.850 0.850 0.644
0.867 0.212 0.881
0.913 0.628 0.117
0.938 0.938 0.309
0.942 0.233 0.499
```

Results
**Magnetic moment**: 0.13 μB per formula unit



2.
This record from Alexandria via LeMat-Bulk describes KPHNO2 at its PBEsol-relaxed geometry. The functional is SCAN.

Structure (POSCAR):
```
KPHNO2
1.0
6.331 3.655 3.347
-6.331 3.655 3.347
0.000 -7.310 3.347
K P H N O
6 6 6 6 12
Direct
0.127 0.316 0.829
0.171 0.873 0.684
0.316 0.829 0.127
0.684 0.171 0.873
0.829 0.127 0.316
0.873 0.684 0.171
0.182 0.452 0.281
0.281 0.182 0.452
0.452 0.281 0.182
0.548 0.719 0.818
0.719 0.818 0.548
0.818 0.548 0.719
0.261 0.464 0.578
0.422 0.739 0.536
0.464 0.578 0.261
0.536 0.422 0.739
0.578 0.261 0.464
0.739 0.536 0.422
0.207 0.362 0.452
0.362 0.452 0.207
0.452 0.207 0.362
0.548 0.793 0.638
0.638 0.548 0.793
0.793 0.638 0.548
0.013 0.336 0.129
0.129 0.013 0.336
0.203 0.649 0.365
0.336 0.129 0.013
0.351 0.635 0.797
0.365 0.203 0.649
0.635 0.797 0.351
0.649 0.365 0.203
0.664 0.871 0.987
0.797 0.351 0.635
0.871 0.987 0.664
0.987 0.664 0.871
```

Results
**Magnetic moment**: 0.00 μB per formula unit



Number 1: raw total energy -11.80 eV/atom. Number 2: raw total energy -9.07 eV/atom.